--- 1 ---
Here is Be8Nb3Ir after structural relaxation from the Alexandria database. Energies are from PBE.

Properties
Its crystal system is trigonal. Its symmetry is P3m1.

```
Be8Nb3Ir
1.0
4.532 0.000 0.000
-2.266 3.925 0.000
0.000 0.000 7.463
Be Nb Ir
8 3 1
Direct
0.995 0.498 0.747
0.502 0.498 0.747
0.670 0.835 0.253
0.333 0.667 0.500
0.333 0.667 0.993
0.502 0.005 0.747
0.165 0.835 0.253
0.165 0.330 0.253
0.000 0.000 0.931
0.667 0.333 0.067
0.667 0.333 0.442
0.000 0.000 0.565
```



--- 2 ---
Here is Be8Nb3Ir after structural relaxation from the Alexandria database. Energies are from PBE.

Properties
Its crystal system is trigonal. Its symmetry is R3m.

```
Be8Nb3Ir
1.0
-1.065 -1.497 4.152
2.646 -3.064 2.056
4.549 3.973 5.081
Be Ir Nb
8 1 3
Direct
0.687 0.687 0.940
0.941 0.941 0.684
0.188 0.188 0.437
0.935 0.437 0.191
0.437 0.935 0.191
0.435 0.941 0.684
0.941 0.435 0.684
0.437 0.437 0.191
0.875 0.875 0.374
0.502 0.502 0.494
0.997 0.997 0.008
0.376 0.376 0.872
```



Q: What are the energies relative to the best structure? A: 1 0.000; 2 0.012, in eV/atom.



--- 1 ---
Here is Be2Ni2Ir after structural relaxation from the Alexandria database. Energies are from PBE.

Properties
Its crystal system is tetragonal. Its symmetry is P4/mbm.

```
Be2Ni2Ir
1.0
-0.692 -6.099 -0.131
5.889 -0.702 1.589
-0.702 0.023 2.610
Be Ni Ir
4 4 2
Direct
0.130 0.370 0.000
0.870 0.630 0.000
0.630 0.130 0.000
0.370 0.870 0.000
0.665 0.835 0.500
0.335 0.165 0.500
0.835 0.335 0.500
0.165 0.665 0.500
0.500 0.500 0.000
0.000 0.000 0.000
```



--- 2 ---
Here is Be2Ni2Ir after structural relaxation from the Alexandria database. Energies are from PBE.

Properties
Its crystal system is tetragonal. Its symmetry is I4/mmm.

```
Be2Ni2Ir
1.0
-3.287 0.615 1.752
-1.652 -2.593 -2.190
-1.628 -3.646 2.291
Ni Be Ir
2 2 1
Direct
0.358 0.358 0.285
0.642 0.642 0.715
0.250 0.750 0.500
0.750 0.250 0.500
0.000 0.000 0.000
```



--- 3 ---
Here is Be2Ni2Ir after structural relaxation from the Alexandria database. Energies are from PBE.

Properties
Its crystal system is tetragonal. Its symmetry is P4/mbm.

```
Be2Ni2Ir
1.0
-0.804 -2.748 5.807
5.203 -3.711 -1.036
1.466 1.765 1.039
Ni Be Ir
4 4 2
Direct
0.127 0.373 0.000
0.373 0.873 0.000
0.873 0.627 0.000
0.627 0.127 0.000
0.671 0.829 0.500
0.329 0.171 0.500
0.171 0.671 0.500
0.829 0.329 0.500
0.500 0.500 0.000
0.000 0.000 0.000
```



Q: What are the energies relative to the best structure? A: 1 0.000; 2 0.394; 3 0.187, in eV/atom.